AlVIO2 after structural relaxation. Source: Alexandria via LeMat-Bulk, functional PBE+U.

abc: 3.8119 3.8119 5.6785
angles: 90.00 90.00 90.00
With the nearest neighbours (Å) after each atom.
Element x y z (fractional)
Al  0.0000  0.0000  0.0000  4 O 1.91
O  0.5000  0.0000  0.0000  2 Al 1.91
O  0.0000  0.5000  0.0000  2 Al 1.91
V  0.5000  0.5000  0.5000  4 I 2.70
I  0.0000  0.0000  0.5000  4 V 2.70, 2 Al 2.84

Total energy ... -5.3123 eV per atom
Calculated density ... 4.77 g/cm³
Energy relative to the lowest polymorph listed for this composition ... 0.000 eV/atom